Record 1
An optimized crystal structure of CaZn5Pd6. Source: the Alexandria database, functional GGA-PBE.

a = 4.2096 Å, b = 6.9832 Å, c = 6.6583 Å
α = 90.00°, β = 108.44°, γ = 90.00°
Last column: nearest neighbours and their distance in Å.
Atoms (fractional coordinates):
Ca  0.0000  0.0000  0.0000  8 Pd 2.83-2.85, 4 Zn 3.04-3.05
Zn  0.6643  0.5000  0.3284  8 Pd 2.62-2.67
Zn  0.3270  0.0000  0.6519  8 Pd 2.69-2.90, 2 Zn 2.84-2.85
Zn  0.0000  0.5000  0.0000  8 Pd 2.64-2.72, 4 Zn 2.95-2.96
Zn  0.6730  0.0000  0.3481  8 Pd 2.69-2.90, 2 Zn 2.84-2.85
Zn  0.3357  0.5000  0.6716  8 Pd 2.62-2.67
Pd  0.8282  0.7349  0.6565  7 Zn 2.64-2.81, 1 Ca 2.85, 2 Pd 2.89
Pd  0.8282  0.2651  0.6565  7 Zn 2.64-2.81, 1 Ca 2.85, 2 Pd 2.89
Pd  0.5000  0.2710  0.0000  6 Zn 2.62-2.90, 2 Ca 2.83
Pd  0.5000  0.7290  0.0000  6 Zn 2.62-2.90, 2 Ca 2.83
Pd  0.1718  0.7349  0.3435  7 Zn 2.64-2.81, 1 Ca 2.85, 2 Pd 2.89
Pd  0.1718  0.2651  0.3435  7 Zn 2.64-2.81, 1 Ca 2.85, 2 Pd 2.89

- theoretical density (Mg/m³) = 9.0
- magnetization (μB/f.u.) = 0.00
- space-group type = Cmmm, No. 65
- E (Ha/atom) = -0.1413
- E_form (eV per atom) = -0.5501

=====

Record 2
An optimized crystal structure of AcIn2Ga2. Source: the Alexandria database, functional GGA-PBE.

a = 4.9027 Å, b = 4.9027 Å, c = 6.8654 Å
α = 69.08°, β = 69.08°, γ = 60.00°
Last column: nearest neighbours and their distance in Å.
Atoms (fractional coordinates):
Ac  0.0000  0.5000  0.0000  6 Ga 3.31, 6 In 3.66
In  0.2098  0.7098  0.3706  3 Ga 2.89
In  0.7902  0.2902  0.6294  3 Ga 2.89
Ga  0.5751  0.0751  0.2746  1 Ga 2.82, 3 In 2.89
Ga  0.4249  0.9249  0.7254  1 Ga 2.82, 3 In 2.89

- theoretical density (Mg/m³) = 7.6
- magnetization (μB/f.u.) = 0.00
- space-group type = R-3m, No. 166
- E (Ha/atom) = -0.1258
- E_form (eV per atom) = -0.2967

=====

Record 3
An optimized crystal structure of KCo2Os. Source: the Alexandria database, functional GGA-PBE.

a = 9.8893 Å, b = 9.8893 Å, c = 9.8893 Å
α = 15.90°, β = 15.90°, γ = 15.90°
Last column: nearest neighbours and their distance in Å.
Atoms (fractional coordinates):
Co  0.0142  0.0142  0.0142  3 Os 2.57, 6 Co 2.74
Co  0.4858  0.4858  0.4858  3 Os 2.57, 6 Co 2.74
K  0.2500  0.2500  0.2500  6 K 2.74
Os  0.7500  0.7500  0.7500  6 Co 2.57, 6 Os 2.74

- theoretical density (Mg/m³) = 9.1
- magnetization (μB/f.u.) = 3.33
- space-group type = R-3m, No. 166
- E (Ha/atom) = -0.2123
- E_form (eV per atom) = 0.8582

=====

Record 4
An optimized crystal structure of KRhSCl2. Source: the Alexandria database, functional GGA-PBE.

a = 5.1855 Å, b = 5.1855 Å, c = 4.4268 Å
α = 90.00°, β = 90.00°, γ = 90.00°
Last column: nearest neighbours and their distance in Å.
Atoms (fractional coordinates):
K  0.5000  0.5000  0.5000  8 Cl 3.41, 4 S 3.67
Rh  0.0000  0.0000  0.0000  2 S 2.21
S  0.0000  0.0000  0.5000  2 Rh 2.21
Cl  0.0000  0.5000  0.0000  2 Rh 2.59
Cl  0.5000  0.0000  0.0000  2 Rh 2.59

- theoretical density (Mg/m³) = 3.4
- magnetization (μB/f.u.) = 0.27
- space-group type = P4/mmm, No. 123
- E (Ha/atom) = -0.1477
- energy relative to the elements, uncorrected (meV/atom) = -766

=====

Record 5
An optimized crystal structure of Ta2MnRhN. Source: the Alexandria database, functional GGA-PBE.

a = 4.2336 Å, b = 4.2336 Å, c = 3.8050 Å
α = 90.00°, β = 90.00°, γ = 90.00°
Last column: nearest neighbours and their distance in Å.
Atoms (fractional coordinates):
N  0.0000  0.0000  0.0000  2 Mn 1.90, 4 Ta 2.12
Mn  0.0000  0.0000  0.5000  2 N 1.90
Rh  0.5000  0.5000  0.5000  8 Ta 2.85, 4 Mn 2.99
Ta  0.0000  0.5000  0.0000  2 N 2.12
Ta  0.5000  0.0000  0.0000  2 N 2.12

- theoretical density (Mg/m³) = 13.0
- magnetization (μB/f.u.) = 1.67
- space-group type = P4/mmm, No. 123
- E (Ha/atom) = -0.3773
- energy relative to the elements, uncorrected (meV/atom) = -557

=====

Record 6
An optimized crystal structure of GaFeNi. Source: the Alexandria database, functional GGA-PBE.

a = 3.6908 Å, b = 3.6347 Å, c = 10.9692 Å
α = 90.00°, β = 90.00°, γ = 90.00°
Last column: nearest neighbours and their distance in Å.
Atoms (fractional coordinates):
Ni  0.5000  0.0000  0.5163  4 Ga 2.48-2.56, 6 Fe 2.57-2.59, 2 Ni 2.61
Ni  0.5000  0.5000  0.0163  4 Ga 2.48-2.56, 6 Fe 2.57-2.59, 2 Ni 2.61
Ni  0.0000  0.0000  0.3486  6 Ga 2.59-2.61, 4 Fe 2.60-2.63, 2 Ni 2.61
Ni  0.0000  0.5000  0.8486  6 Ga 2.59-2.61, 4 Fe 2.60-2.63, 2 Ni 2.61
Fe  0.0000  0.0000  0.0213  4 Ga 2.50-2.54, 2 Fe 2.55, 6 Ni 2.59-2.63
Fe  0.0000  0.5000  0.5213  4 Ga 2.50-2.54, 2 Fe 2.55, 6 Ni 2.59-2.63
Fe  0.5000  0.0000  0.1818  2 Fe 2.55, 4 Ni 2.57-2.60, 6 Ga 2.59-2.69
Fe  0.5000  0.5000  0.6818  2 Fe 2.55, 4 Ni 2.57-2.60, 6 Ga 2.59-2.69
Ga  0.5000  0.0000  0.8628  6 Ni 2.48-2.59, 4 Fe 2.54-2.69, 2 Ga 2.74
Ga  0.5000  0.5000  0.3628  6 Ni 2.48-2.59, 4 Fe 2.54-2.69, 2 Ga 2.74
Ga  0.0000  0.0000  0.6776  6 Fe 2.50-2.59, 4 Ni 2.56-2.61, 2 Ga 2.74
Ga  0.0000  0.5000  0.1776  6 Fe 2.50-2.59, 4 Ni 2.56-2.61, 2 Ga 2.74

- theoretical density (Mg/m³) = 8.3
- magnetization (μB/f.u.) = 2.71
- space-group type = Amm2, No. 38
- E (Ha/atom) = -0.2176
- E_form (eV per atom) = -0.1654

=====

Among the records above, which one has the lowest theoretical density? KRhSCl2

=====

Look up the theoretical density of the third one. 9.1 Mg/m³

=====

Number 4 is which compound? KRhSCl2